(1)
# MgBeIr PBE optimized geometry
# Energy of formation from the pure elements ... -0.3549 eV per atom
# Energy above the lowest structure with this stoichiometry ... 91.3 meV/atom
# D(E_F) ... 4.97 states/eV per cell
# ρ ... 8.76 g cm⁻³
# E ... -0.187 Ha/atom
data_MgBeIr
_cell_length_a 5.4694
_cell_length_b 5.4694
_cell_length_c 9.9023
_cell_angle_alpha 90.00
_cell_angle_beta 90.00
_cell_angle_gamma 120.00
_space_group_name_H-M_alt 'P 62 2 2'
_space_group_IT_number 180
_space_group_name_Hall 'P 62 2 (0 0 4)'
loop_
_atom_site_label
_atom_site_fract_x
_atom_site_fract_y
_atom_site_fract_z
Mg1 0.0000 0.0000 0.0000
Mg2 0.0000 0.5000 0.1667
Be1 0.2178 0.6089 0.6667
Ir1 0.0000 0.5000 0.4630


(2)
# MgBeIr2 PBE optimized geometry
# Energy of formation from the pure elements ... -0.3525 eV per atom
# Energy above the lowest structure with this stoichiometry ... 17.0 meV/atom
# D(E_F) ... 1.15 states/eV per cell
# ρ ... 12.74 g cm⁻³
# E ... -0.225 Ha/atom
data_MgBeIr2
_cell_length_a 2.802
_cell_length_b 3.740
_cell_length_c 5.353
_cell_angle_alpha 90.00
_cell_angle_beta 103.97
_cell_angle_gamma 90.00
_space_group_name_H-M_alt 'P 1 2/m 1'
_space_group_IT_number 10
loop_
_space_group_symop_operation_xyz
'x,y,z'
'-x,-y,-z'
'-x,y,-z'
'x,-y,z'
loop_
_atom_site_label
_atom_site_fract_x
_atom_site_fract_y
_atom_site_fract_z
Mg1 0.000 0.000 0.000
Be1 0.000 0.000 0.500
Ir1 0.365 0.500 0.720


(3)
# MgBeIr PBE optimized geometry
# Energy of formation from the pure elements ... -0.0454 eV per atom
# Energy above the lowest structure with this stoichiometry ... 400.8 meV/atom
# D(E_F) ... 1.55 states/eV per cell
# ρ ... 8.68 g cm⁻³
# E ... -0.175 Ha/atom
data_MgBeIr
_cell_length_a 2.8699
_cell_length_b 2.8699
_cell_length_c 6.0514
_cell_angle_alpha 90.00
_cell_angle_beta 90.00
_cell_angle_gamma 120.00
_space_group_name_H-M_alt 'P 3 m 1'
_space_group_IT_number 156
loop_
_space_group_symop_operation_xyz
'x,y,z'
'-y,x-y,z'
'-x+y,-x,z'
'-y,-x,z'
'-x+y,y,z'
'x,x-y,z'
loop_
_atom_site_label
_atom_site_fract_x
_atom_site_fract_y
_atom_site_fract_z
Mg1 0.0000 0.0000 0.0000
Be1 0.6667 0.3333 0.3726
Ir1 0.3333 0.6667 0.6341